(1)
## Ho5Te4Pb (GGA-PBE)

Data for a geometry-optimized Ho5Te4Pb structure.

Its formation energy from raw total energies is -1122 meV/atom. The total magnetization comes out at 0.0000 μB per atom. As for the excess energy over the best structure of this formula in the dataset: 1.68 kJ per mole of atoms.

The structure belongs to space group I4/mmm (No. 139); the cell edges are 4.3559, 4.3559 and 30.9216 Å and the angles 90.00°, 90.00° and 90.00°. The asymmetric unit holds Ho at (0.0000, 0.0000, 0.0000), Ho at (0.0000, 0.0000, 0.2034), Ho at (0.0000, 0.0000, 0.4025), Te at (0.0000, 0.0000, 0.1025), Te at (0.0000, 0.0000, 0.3021) and Pb at (0.0000, 0.0000, 0.5000).

=====

(2)
## K2GaSbH (GGA-PBE)

Data for a geometry-optimized K2GaSbH structure.

The value obtained for the total energy is -0.1036 Ha/atom. The total magnetization comes out at 0.0000 μB per atom.

The structure belongs to space group P2_1/m (No. 11); the cell edges are 6.7293, 4.4319 and 10.4522 Å and the angles 90.00°, 103.31° and 90.00°. The asymmetric unit holds K at (0.2215, 0.2500, 0.4390), K at (0.2781, 0.7500, 0.0640), Ga at (0.1450, 0.2500, 0.7699), Sb at (0.3483, 0.7500, 0.7226) and H at (0.1268, 0.2500, 0.9281).

=====

(3)
## CeSmZnIn (GGA-PBE)

Data for a geometry-optimized CeSmZnIn structure.

The total magnetization comes out at 0.2177 μB per atom. For the energy relative to the elements, the calculation gives -0.301 eV per atom.

The structure belongs to space group F-43m (No. 216); the cell edges are 7.5207, 7.5207 and 7.5207 Å and the angles 90.00°, 90.00° and 90.00°. The asymmetric unit holds Ce at (0.0000, 0.0000, 0.0000), Sm at (0.0000, 0.0000, 0.5000), Zn at (0.2500, 0.2500, 0.2500) and In at (0.2500, 0.2500, 0.7500).

=====

(4)
## HoIn2CuPd4 (GGA-PBE)

Data for a geometry-optimized HoIn2CuPd4 structure.

The total magnetization comes out at 0.0000 μB per atom. For the energy relative to the elements, the calculation gives -0.576 eV per atom.

The structure belongs to space group R-3m (No. 166, hexagonal axes); the cell edges are 4.6262, 4.6262 and 23.0065 Å and the angles 90.00°, 90.00° and 120.00°. The asymmetric unit holds Ho at (0.0000, 0.0000, 0.0000), In at (0.0000, 0.0000, 0.2453), Cu at (0.0000, 0.0000, 0.5000), Pd at (0.0000, 0.0000, 0.1254) and Pd at (0.0000, 0.0000, 0.3853).

=====

(5)
## Pm4Ga2B (GGA-PBE)

Data for a geometry-optimized Pm4Ga2B structure.

The total magnetization comes out at 0.0000 μB per atom. For the energy relative to the elements, the calculation gives -0.209 eV per atom.

The structure belongs to space group I4/mmm (No. 139); the cell edges are 5.0972, 5.0972 and 14.8053 Å and the angles 90.00°, 90.00° and 90.00°. The asymmetric unit holds Pm at (0.0000, 0.0000, 0.1807), Pm at (0.0000, 0.5000, 0.0000), Ga at (0.0000, 0.0000, 0.3792) and B at (0.0000, 0.0000, 0.0000).

=====

(6)
## Dy3CuNi2 (GGA-PBE)

Data for a geometry-optimized Dy3CuNi2 structure.

The total magnetization comes out at 0.0000 μB per atom. For the energy relative to the elements, the calculation gives -0.336 eV per atom.

The structure belongs to space group Pnma (No. 62); the cell edges are 11.5170, 3.8777 and 11.2508 Å and the angles 90.00°, 90.00° and 90.00°. The asymmetric unit holds Dy at (0.0545, 0.2500, 0.1278), Dy at (0.1225, 0.7500, 0.5724), Dy at (0.2042, 0.2500, 0.8238), Cu at (0.1247, 0.2500, 0.3801), Ni at (0.0126, 0.7500, 0.3076) and Ni at (0.1892, 0.7500, 0.0021).

=====

(7)
## YFe2Ir (GGA-PBE)

Data for a geometry-optimized YFe2Ir structure.

The total magnetization comes out at 1.3219 μB per atom. For the energy relative to the elements, the calculation gives 0.255 eV per atom.

The structure belongs to space group I-42d (No. 122); the cell edges are 4.0108, 4.0108 and 18.4616 Å and the angles 90.00°, 90.00° and 90.00°. The asymmetric unit holds Y at (0.0000, 0.0000, 0.0000), Fe at (0.1476, 0.2500, 0.6250) and Ir at (0.0000, 0.0000, 0.5000).

=====

(8)
## LaGaPd (GGA-PBE)

Data for a geometry-optimized LaGaPd structure.

The total magnetization comes out at 0.0001 μB per atom. For the energy relative to the elements, the calculation gives -0.633 eV per atom.

The structure belongs to space group F-43m (No. 216); the cell edges are 6.7116, 6.7116 and 6.7116 Å and the angles 90.00°, 90.00° and 90.00°. The asymmetric unit holds La at (0.0000, 0.0000, 0.0000), Ga at (0.0000, 0.0000, 0.5000) and Pd at (0.2500, 0.2500, 0.7500).